No. 1
11
Lattice="2.835 1.637 5.058 -2.835 1.637 5.058 0.000 -3.274 5.058" Properties=species:S:1:pos:R:3 comment="Li2La2PtO6, optimized geometry, DFT PBE-GGA" formation_energy_uncorrected_ev_per_atom=-2.099 dft_energy_ev_per_atom=-6.597 sg=R-3m magnetic_moment_mub_per_fu=0.0 pbc="T T T"
Li 0.000 0.000 1.150
Li 0.000 0.000 14.023
La 0.000 0.000 4.308
La 0.000 0.000 10.865
Pt 0.000 0.000 7.587
O 0.000 -1.501 6.216
O -1.300 0.750 6.216
O -1.300 -0.750 8.958
O 1.300 0.750 6.216
O 1.300 -0.750 8.958
O 0.000 1.501 8.958

---

No. 2
8
Lattice="-2.256 4.773 5.595 2.256 -4.773 5.595 2.256 4.773 -5.595" Properties=species:S:1:pos:R:3 comment="SmTm5Sn2, optimized geometry, DFT PBE-GGA" ef_ev_per_atom=-0.28 dft_energy_ev_per_atom=-4.666 sg=Immm magnetic_moment_mub_per_fu=1.1 pbc="T T T"
Sm 0.000 0.000 0.000
Tm 2.256 2.998 -1.719
Tm 2.256 2.998 1.719
Tm 0.000 4.773 0.000
Tm 0.000 1.775 3.876
Tm 0.000 1.775 7.314
Sn 2.256 0.000 2.412
Sn 0.000 4.773 3.183